# 1
The following is a DFT calculation (GGA-PBE) of crystalline BaOsSe2Br at its relaxed geometry.

a = 4.985 Å, b = 4.985 Å, c = 5.375 Å
α = 90.00°, β = 90.00°, γ = 90.00°
Space group P4/mmm (No. 123)
Unique sites:
Ba  0.000  0.000  0.000 [1 per cell]
Os  0.500  0.500  0.500 [1 per cell]
Se  0.000  0.500  0.500 [2 per cell]
Br  0.500  0.500  0.000 [1 per cell]

The polymorph energy (0 for the lowest one) is 0 meV per atom. The uncorrected formation energy is -0.508 eV/atom.

***

# 2
The following is a DFT calculation (GGA-PBE) of crystalline BaOsSeBr2 at its relaxed geometry.

a = 5.327 Å, b = 5.327 Å, c = 4.822 Å
α = 90.00°, β = 90.00°, γ = 90.00°
Space group P4/mmm (No. 123)
Unique sites:
Ba  0.000  0.000  0.000 [1 per cell]
Os  0.500  0.500  0.500 [1 per cell]
Se  0.500  0.500  0.000 [1 per cell]
Br  0.000  0.500  0.500 [2 per cell]

The polymorph energy (0 for the lowest one) is 0 meV per atom. The uncorrected formation energy is -0.517 eV/atom.

***

# 3
The following is a DFT calculation (GGA-PBE) of crystalline BaOsSeBr2 at its relaxed geometry.

a = 6.113 Å, b = 6.113 Å, c = 7.127 Å
α = 90.00°, β = 90.00°, γ = 90.00°
Space group P4/mmm (No. 123)
Unique sites:
Ba  0.000  0.000  0.000 [1 per cell]
Os  0.000  0.000  0.500 [1 per cell]
Se  0.500  0.500  0.500 [1 per cell]
Br  0.000  0.500  0.000 [2 per cell]

The polymorph energy (0 for the lowest one) is 1458 meV per atom. The uncorrected formation energy is 0.941 eV/atom.

***

# 4
The following is a DFT calculation (GGA-PBE) of crystalline Ba2VOsBr at its relaxed geometry.

a = 6.256 Å, b = 6.256 Å, c = 4.621 Å
α = 90.00°, β = 90.00°, γ = 90.00°
Space group P4/mmm (No. 123)
Unique sites:
Ba  0.000  0.500  0.000 [2 per cell]
V  0.000  0.000  0.500 [1 per cell]
Os  0.000  0.000  0.000 [1 per cell]
Br  0.500  0.500  0.500 [1 per cell]

The uncorrected formation energy is 0.020 eV/atom.

***

# 5
The following is a DFT calculation (GGA-PBE) of crystalline BaOsW2Br at its relaxed geometry.

a = 4.782 Å, b = 4.782 Å, c = 6.887 Å
α = 90.00°, β = 90.00°, γ = 90.00°
Space group P4/mmm (No. 123)
Unique sites:
Ba  0.000  0.000  0.000 [1 per cell]
Os  0.000  0.000  0.500 [1 per cell]
W  0.000  0.500  0.500 [2 per cell]
Br  0.500  0.500  0.000 [1 per cell]

The uncorrected formation energy is 1.124 eV/atom.

***

# 6
The following is a DFT calculation (GGA-PBE) of crystalline Ba2ZnOsBr at its relaxed geometry.

a = 6.108 Å, b = 6.108 Å, c = 4.859 Å
α = 90.00°, β = 90.00°, γ = 90.00°
Space group P4/mmm (No. 123)
Unique sites:
Ba  0.000  0.500  0.000 [2 per cell]
Zn  0.000  0.000  0.000 [1 per cell]
Os  0.500  0.500  0.500 [1 per cell]
Br  0.000  0.000  0.500 [1 per cell]

The uncorrected formation energy is 0.810 eV/atom.

***

# 7
The following is a DFT calculation (GGA-PBE) of crystalline Ba2PBr at its relaxed geometry.

a = 5.103 Å, b = 4.361 Å, c = 12.450 Å
α = 90.00°, β = 90.00°, γ = 90.00°
Space group Amm2 (No. 38)
Unique sites:
Ba  0.000  0.000  0.000 [2 per cell]
Ba  0.500  0.000  0.247 [2 per cell]
P  0.500  0.000  0.498 [2 per cell]
Br  0.000  0.000  0.740 [2 per cell]

The uncorrected formation energy is -1.325 eV/atom.

***

# 8
The following is a DFT calculation (GGA-PBE) of crystalline Ba4PBr at its relaxed geometry.

a = 9.986 Å, b = 9.986 Å, c = 9.986 Å
α = 90.00°, β = 90.00°, γ = 90.00°
Space group F-43m (No. 216)
Unique sites:
Ba  0.124  0.124  0.376 [16 per cell]
P  0.250  0.250  0.750 [4 per cell]
Br  0.000  0.000  0.000 [4 per cell]

The uncorrected formation energy is 0.062 eV/atom.

***

Taking the records one at a time from the top gives uncorrected energy values of -4.87; -4.51; -3.06; -5.15; -7.02; -2.79; -4.06; -2.40 eV/atom.